Here is an optimized crystal structure of LiAu2I2 from Alexandria via LeMat-Bulk. Energies are from PBE-GGA.

Geometry as CIF:
```
data_LiAu2I2
_space_group_name_H-M_alt 'P 1'
_space_group_IT_number 1
_space_group_name_Hall 'P 1'
_cell_length_a 7.911
_cell_length_b 7.911
_cell_length_c 4.230
_cell_angle_alpha 90.00
_cell_angle_beta 90.00
_cell_angle_gamma 90.00
loop_
_atom_site_label
_atom_site_type_symbol
_atom_site_fract_x
_atom_site_fract_y
_atom_site_fract_z
I1 I 0.206 0.706 0.500
I2 I 0.794 0.294 0.500
I3 I 0.706 0.794 0.500
I4 I 0.294 0.206 0.500
Au1 Au 0.120 0.380 0.000
Au2 Au 0.620 0.120 0.000
Au3 Au 0.380 0.880 0.000
Au4 Au 0.880 0.620 0.000
Li1 Li 0.500 0.500 0.000
Li2 Li 0.000 0.000 0.000
```

Computed properties:
Calculated total energy (eV/cell): -24.2
Offset from the most stable computed form (eV/atom): 0.000
Formation energy (no corrections) (eV per atom): -0.1080